Here is a relaxed structure of Y3PaN4 from Alexandria via LeMat-Bulk. Energies are from PBE-GGA.

crystal system = tetragonal
formation energy from raw total energies = -1.71 eV/atom
spin magnetization = 0.00 μB/f.u.
distance to the lowest polymorph of the same formula = 0 meV/atom
raw total energy = -75.84 eV/cell

a = 6.024 Å, b = 6.024 Å, c = 6.024 Å
α = 131.74°, β = 131.74°, γ = 70.65°
Sites, in units of the cell vectors:
Y 0.000 0.000 0.000
Y 0.250 0.750 0.500
Y 0.750 0.250 0.500
Pa 0.500 0.500 0.000
N 0.000 0.500 0.500
N 0.265 0.265 0.000
N 0.500 0.000 0.500
N 0.735 0.735 0.000